Entry from the Alexandria database: KReSiNi2 at its PBEsol-relaxed geometry (meta-GGA SCAN).

Geometry as POSCAR:
```
KReSiNi2
1.0
4.148 0.000 0.000
0.000 4.148 0.000
0.000 0.000 4.922
Ni Si K Re
2 1 1 1
direct
0.000 0.500 0.000
0.500 0.000 0.000
0.500 0.500 0.500
0.000 0.000 0.000
0.000 0.000 0.500
```

Uncorrected formation energy, eV/atom: 2.95
Uncorrected energy, Ry/atom: -1.573
Total magnetization, μB/cell: 2.5